VASP calculation (meta-GGA SCAN) on BeCu5 at its PBEsol-relaxed geometry. Values from VASP.

```
&SYSTEM
  ibrav = 0, nat = 6, ntyp = 2
/
ATOMIC_SPECIES
Cu 63.55 Cu.upf
Be 9.01 Be.upf
ATOMIC_POSITIONS angstrom
Cu 2.021 0.000 2.483
Be 2.021 0.000 0.000
Cu 0.000 0.701 1.215
Cu 0.000 2.897 0.000
Cu 2.021 2.150 1.241
Cu 0.000 -1.449 2.509
CELL_PARAMETERS angstrom
4.042 0.000 0.000
0.000 4.300 0.000
0.000 -2.150 3.724
```

Symmetry ... P-62m
Excess energy over the best structure of this formula in the dataset ... 22 meV/atom
E_form ... -0.04 eV/atom